(1)
A plane-wave DFT calculation with PBE-GGA was carried out for Nd3Sm6Dy after structural relaxation.

a b c (Å): 6.7575 6.7575 8.8471
angles (deg): 100.69 100.69 62.90
Sites, in units of the cell vectors:
Nd: 0.0000 0.0000 0.0000
Nd: 0.4644 0.4644 0.1599
Nd: 0.5356 0.5356 0.8401
Sm: 0.0262 0.4819 0.8105
Sm: 0.3368 0.3368 0.5069
Sm: 0.4819 0.0262 0.8105
Sm: 0.5181 0.9738 0.1895
Sm: 0.6632 0.6632 0.4931
Sm: 0.9738 0.5181 0.1895
Dy: 0.0000 0.0000 0.5000

Output
DOS(E_F), states/eV per cell: 16.7
Formation enthalpy at 0 K, kJ per mole of atoms: 26.4
VASP energy, eV per formula unit: -44.5

=====

(2)
A plane-wave DFT calculation with PBE-GGA was carried out for SrLi2Be after structural relaxation.

a b c (Å): 6.0808 6.0808 3.8368
angles (deg): 106.79 106.79 120.28
Sites, in units of the cell vectors:
Sr: 0.0000 0.0000 0.0000
Li: 0.0000 0.5000 0.5000
Li: 0.5000 0.0000 0.5000
Be: 0.5000 0.5000 0.0000

Output
DOS(E_F), states/eV per cell: 2.3
Formation enthalpy at 0 K, kJ per mole of atoms: 47.3
VASP energy, eV per formula unit: -7.3

=====

Number 1: total magnetization 0.000 μB/atom. Number 2: total magnetization 0.000 μB/atom.